First-principles (PBE with a Hubbard U) data for an optimized crystal structure of PmMn2InO6, as listed in Alexandria.

total moment	0.80	μB/atom
SG	No. 1
E	-72.2	eV/cell
D(E_F)	0.408	states/eV per cell

Lattice parameters (Å, degrees): 5.464 5.448 5.606 61.14 62.08 61.11
Site moments in Bohr magnetons follow the coordinates.
Fractional positions:
O 0.167 0.345 0.741  -0.04
Pm 0.792 0.784 0.639  0.01
Mn 0.018 0.012 0.956  3.93
O 0.893 0.650 0.219  -0.03
O 0.363 0.733 0.717  -0.04
O 0.741 0.168 0.743  -0.04
O 0.634 0.258 0.235  -0.03
In 0.304 0.305 0.092  0.03
Mn 0.515 0.517 0.447  4.03
O 0.234 0.890 0.226  -0.04